Record 1
A plane-wave DFT calculation with GGA-PBE was carried out for LaY2In6 after structural relaxation.

Lattice parameters (Å, degrees): 4.649 7.695 14.534 90.00 90.00 90.00
Space group Immm (No. 71)
Inequivalent atoms, fractional coordinates:
La1 0.000 0.000 0.000 [2 per cell]
Y1 0.000 0.500 0.121 [4 per cell]
In1 0.000 0.189 0.500 [4 per cell]
In2 0.000 0.304 0.310 [8 per cell]

## Properties
Calculated formation energy in meV per atom: -360
Excess energy over the best structure of this formula in the dataset in meV/atom: 77

Record 2
A plane-wave DFT calculation with GGA-PBE was carried out for TaH2Rh after structural relaxation.

Lattice parameters (Å, degrees): 3.0223 3.0223 14.9708 90.00 90.00 120.00
Space group R3m (No. 160, hexagonal axes)
Inequivalent atoms, fractional coordinates:
Ta1 0.0000 0.0000 0.0000 [3 per cell]
H1 0.0000 0.0000 0.2720 [3 per cell]
H2 0.0000 0.0000 0.4376 [3 per cell]
Rh1 0.0000 0.0000 0.8108 [3 per cell]

## Properties
Excess energy over the best structure of this formula in the dataset in meV/atom: 68

Record 3
A plane-wave DFT calculation with GGA-PBE was carried out for BaSbW2 after structural relaxation.

Lattice parameters (Å, degrees): 3.566 5.004 5.086 90.00 90.00 90.00
Space group Pmmm (No. 47)
Inequivalent atoms, fractional coordinates:
Ba1 0.000 0.000 0.000 [1 per cell]
Sb1 0.500 0.000 0.500 [1 per cell]
W1 0.000 0.500 0.500 [1 per cell]
W2 0.500 0.500 0.000 [1 per cell]

## Properties
E_form (uncorrected) in eV/atom: 1.48

no.,DFT total energy (eV for the cell shown)
1,-75.05
2,-77.80
3,-26.04